[1]
The following is a PBE-GGA calculation of a relaxed structure of Pr2CuPt, from the Open Quantum Materials Database.

Unit cell a=4.5626 b=5.7864 c=7.5143 alpha=90.00 beta=90.00 gamma=90.00
Closest atoms and distances in Å follow each position.
Space group Pmc2_1 (No. 26)
Asymmetric unit:
Pr 0.0000 0.1109 0.0000 x2  3 Cu 3.07-3.13, 4 Pt 3.10-3.12
Pr 0.5000 0.3820 0.3673 x2  3 Pt 3.06-3.10, 4 Cu 3.10-3.13
Cu 0.0000 0.3836 0.6466 x2  2 Pt 2.80, 7 Pr 3.07-3.13
Pt 0.5000 0.1193 0.7212 x2  2 Cu 2.80, 7 Pr 3.06-3.12

Output
Crystal system: orthorhombic

[2]
The following is a PBE-GGA calculation of a relaxed structure of Pr4CuPt3, from the Open Quantum Materials Database.

Unit cell a=5.7992 b=4.6143 c=7.4695 alpha=90.00 beta=90.25 gamma=90.00
Closest atoms and distances in Å follow each position.
Space group Pm (No. 6)
Asymmetric unit:
Pr 0.0000 0.0000 0.0000 x1  6 Pt 2.99-3.15, 1 Cu 3.09
Pr 0.2215 0.0000 0.4955 x1  5 Pt 3.06-3.19, 2 Cu 3.07-3.14
Pr 0.4921 0.5000 0.8688 x1  5 Pt 3.05-3.15, 2 Cu 3.17
Pr 0.7222 0.5000 0.3586 x1  5 Pt 2.98-3.15, 2 Cu 3.14
Cu 0.7287 0.0000 0.6435 x1  2 Pt 2.81, 5 Pr 3.07-3.14
Pt 0.2063 0.5000 0.2257 x1  7 Pr 2.98-3.15, 2 Pt 3.00
Pt 0.5159 0.0000 0.1357 x1  7 Pr 2.99-3.19, 2 Pt 3.00
Pt 0.9887 0.5000 0.7175 x1  2 Cu 2.81, 5 Pr 3.09-3.13

Output
Crystal system: monoclinic

[3]
The following is a PBE-GGA calculation of a relaxed structure of PrCuPt, from the Open Quantum Materials Database.

Unit cell a=6.7256 b=6.7256 c=6.7256 alpha=90.00 beta=90.00 gamma=90.00
Closest atoms and distances in Å follow each position.
Space group F-43m (No. 216)
Asymmetric unit:
Pr 0.0000 0.0000 0.0000 x4  4 Pt 2.91, 4 Cu 2.91
Cu 0.2500 0.2500 0.7500 x4  4 Pr 2.91
Pt 0.2500 0.2500 0.2500 x4  4 Pr 2.91

Output
Crystal system: cubic
Energy relative to the lowest polymorph listed for this composition in meV per atom: 404

M_tot / μB per cell: 0.01 0.01 0.00
Mass density / Mg/m³: 9.05 10.07 8.72
E_form / kJ/mol of atoms: -64.5 -86.8 -9.2